VASP calculation (GGA-PBE) on TbDy2Al7Cu2 after structural relaxation.

```
12
Lattice="-7.2563 2.4059 -4.8365 -6.9596 5.7576 -0.4976 -3.7550 6.6353 -4.8689" Properties=species:S:1:pos:R:3 pbc="T T T"
Al -8.5413 5.2286 -3.4549
Al -11.2134 7.4155 -6.7316
Al -11.0623 9.1231 -4.5210
Al -8.9855 7.3994 -5.1015
Al -6.9086 5.6757 -5.6820
Al -6.7575 7.3833 -3.4714
Al -9.4296 9.5703 -6.7481
Cu -6.0266 4.9628 -3.4216
Cu -11.9444 9.8361 -6.7814
Dy -2.5511 2.1008 -1.4484
Dy -15.4198 12.6980 -8.7546
Tb 0.0000 0.0000 0.0000
```

SG: R-3m, No. 166
VASP energy in eV per cell: -53.4
Crystal system: trigonal

---

VASP calculation (GGA-PBE) on KGdTeO after structural relaxation.

```
16
Lattice="8.8853 0.0000 0.1613 0.0000 7.5218 0.0000 -1.0120 0.0000 6.6274" Properties=species:S:1:pos:R:3 pbc="T T T"
Gd 4.3417 4.7780 1.4843
Gd 4.0376 1.0171 1.9907
Gd 3.8357 6.5047 4.7980
Gd 3.5316 2.7438 5.3044
K 7.5847 2.8977 1.1623
K 0.7947 6.6586 2.3127
K 7.0787 0.8632 4.4760
K 0.2887 4.6241 5.6264
O 4.9804 2.6919 0.8285
O 3.3989 6.4528 2.6465
O 4.4744 1.0690 4.1422
O 2.8929 4.8299 5.9602
Te 6.6325 6.9602 0.8938
Te 1.7468 3.1993 2.5812
Te 6.1265 4.3225 4.2075
Te 1.2408 0.5616 5.8949
```

SG: P2_1/c, No. 14
VASP energy in eV per cell: -89.2
Crystal system: monoclinic

---

VASP calculation (GGA-PBE) on InCo2W after structural relaxation.

```
4
Lattice="0.0000 3.0580 3.0580 3.0580 0.0000 3.0580 3.0580 3.0580 0.0000" Properties=species:S:1:pos:R:3 pbc="T T T"
Co 0.0000 0.0000 0.0000
Co 4.5870 4.5870 4.5870
In 3.0580 3.0580 3.0580
W 1.5290 1.5290 1.5290
```

SG: F-43m, No. 216
VASP energy in eV per cell: -27.6
Crystal system: cubic

---

VASP calculation (GGA-PBE) on LiYFeTe3 after structural relaxation.

```
12
Lattice="-1.7228 2.0587 3.1650 -6.4236 2.6620 -2.5071 -5.2302 -9.4889 3.3253" Properties=species:S:1:pos:R:3 pbc="T T T"
Fe -8.3032 1.2342 0.1195
Fe -5.0734 -6.0024 3.8637
Li -5.5307 -0.3561 -0.0579
Li -7.8460 -4.4120 4.0411
Te -6.0471 2.5105 0.5173
Te -4.0359 -0.0183 3.2570
Te -7.8865 -0.8266 1.6868
Te -5.4901 -3.9416 2.2964
Te -9.3407 -4.7498 0.7262
Te -7.3295 -7.2787 3.4659
Y 0.0000 0.0000 0.0000
Y -2.6151 -4.7445 1.6627
```

SG: Cmcm, No. 63
VASP energy in eV per cell: -61.2
Crystal system: orthorhombic

---

VASP calculation (GGA-PBE) on TaCo after structural relaxation.

```
24
Lattice="-3.0243 -3.5717 1.7544 0.5990 0.5686 -4.9294 11.9750 -9.9910 0.3027" Properties=species:S:1:pos:R:3 pbc="T T T"
Co -1.5121 -1.7858 0.8772
Co 0.2995 0.2843 -2.4647
Co -1.2127 -1.5015 -1.5875
Co 2.7107 -2.8750 -1.1803
Co 3.0312 -2.5708 -3.8179
Co 1.4130 -4.4819 -2.8792
Co 4.4753 -6.7814 1.0286
Co 6.2870 -4.7112 -2.3134
Co 4.7748 -6.4971 -1.4362
Co 8.1367 -8.5122 0.0069
Co 6.5184 -10.4233 0.9456
Co 6.8389 -10.1191 -1.6920
Ta 1.1040 -0.9211 0.0279
Ta 0.9193 -2.0864 -2.6628
Ta 0.0377 -3.7386 -0.4266
Ta 2.3167 -5.6401 -0.3690
Ta 3.8507 -4.5321 -2.5887
Ta 4.8834 -4.0744 0.1234
Ta 7.0915 -5.9167 0.1792
Ta 5.6990 -8.4620 -0.2836
Ta 7.2329 -7.3541 -2.5033
Ta 9.5119 -9.2555 -2.4457
Ta 8.6304 -10.9077 -0.2095
Ta 10.8709 -9.0699 0.2748
```

SG: P6_3/mmc, No. 194
Calculated formation energy in eV per atom: -0.20
Crystal system: hexagonal

---

VASP calculation (GGA-PBE) on ErSi2Ni after structural relaxation.

```
8
Lattice="-2.6369 2.9340 0.1512 -4.2844 -4.1568 5.9438 -1.7248 -1.9628 8.0085" Properties=species:S:1:pos:R:3 pbc="T T T"
Er -3.6896 -0.9477 5.5810
Er -3.6373 -3.7040 8.4450
Ni -2.3821 0.3838 2.5452
Ni -4.9461 -5.0369 11.4838
Si -1.5570 1.2240 0.6296
Si -1.5022 -1.5298 3.4877
Si -5.8266 -3.1240 10.5427
Si -5.7698 -5.8757 13.3964
```

SG: Cmcm, No. 63
VASP energy in eV per cell: -48.6
Crystal system: orthorhombic

---

VASP calculation (GGA-PBE) on TbHoIn6 after structural relaxation.

```
8
Lattice="6.6263 0.0000 0.0000 -3.3132 5.7386 0.0000 0.0000 0.0000 5.2041" Properties=species:S:1:pos:R:3 pbc="T T T"
Ho 0.0000 0.0000 0.0000
In -1.6033 2.9000 0.0000
In 1.6033 2.9000 0.0000
In 0.0000 5.6771 0.0000
In 0.0000 1.9626 2.6020
In -1.6135 4.7573 2.6020
In 1.6135 4.7573 2.6020
Tb 3.3132 1.9129 2.6020
```

SG: P-6m2, No. 187
VASP energy in eV per cell: -28.4
Crystal system: hexagonal

---

VASP calculation (GGA-PBE) on PmNb2Ir2 after structural relaxation.

```
5
Lattice="4.6755 -0.6203 -3.9245 4.6768 -3.6156 1.6436 -6.1223 -0.3580 -0.1911" Properties=species:S:1:pos:R:3 pbc="T T T"
Ir 3.5023 -1.5862 -0.8542
Ir 5.8500 -2.6496 -1.4267
Nb 1.6147 -1.5481 -2.6280
Nb 1.6154 -3.0457 0.1561
Pm 0.0000 0.0000 0.0000
```

SG: I4/mmm, No. 139
Calculated formation energy in eV per atom: -0.54
Crystal system: tetragonal